# 1
Compound: Ac6As3PS2
Source: Alexandria
Functional: PBE
Structure: relaxed

Geometry as POSCAR:
```
Ac6As3PS2
1.0
-3.793 1.356 1.930
-4.643 -3.187 -6.886
2.277 -8.245 5.099
Ac As P S
6 3 1 2
Direct
0.335 0.919 0.671
0.666 0.583 0.332
0.665 0.081 0.329
0.000 0.245 0.000
0.000 0.755 0.000
0.334 0.417 0.668
0.500 0.500 0.000
0.832 0.168 0.664
0.168 0.832 0.336
0.500 0.000 0.000
0.832 0.665 0.664
0.168 0.335 0.336
```

Summary:
Density of states at the Fermi level in states/eV/f.u.: 3.44
Symmetry: C2/m
Uncorrected formation energy in eV/f.u.: -20.33

---

# 2
Compound: CaEuPPd
Source: Alexandria
Functional: PBE
Structure: relaxed

Geometry as POSCAR:
```
CaEuPPd
1.0
-2.493 4.298 -0.732
-4.894 0.283 1.094
-1.541 2.711 3.937
Eu P Ca Pd
1 1 1 1
Direct
0.250 0.250 0.250
0.500 0.500 0.500
0.750 0.750 0.750
0.000 0.000 0.000
```

Summary:
ΔH_f (0 K) in eV/atom: -0.81
Density of states at the Fermi level in states/eV/f.u.: 12.09
Symmetry: F-43m

---

# 3
Compound: Ba6Pd3O
Source: Alexandria
Functional: PBE
Structure: relaxed

Geometry as POSCAR:
```
Ba6Pd3O
1.0
-7.193 2.634 -0.222
-3.434 -9.147 2.755
1.438 4.676 8.895
Ba Pd O
12 6 2
Direct
0.194 0.688 0.639
0.694 0.639 0.688
0.184 0.423 0.886
0.684 0.886 0.423
0.154 0.051 0.949
0.693 0.216 0.784
0.193 0.784 0.216
0.654 0.949 0.051
0.184 0.114 0.577
0.684 0.577 0.114
0.194 0.361 0.312
0.694 0.312 0.361
0.470 0.929 0.721
0.970 0.721 0.929
0.415 0.392 0.608
0.915 0.608 0.392
0.970 0.071 0.279
0.470 0.279 0.071
0.026 0.198 0.802
0.526 0.802 0.198
```

Summary:
Density of states at the Fermi level in states/eV/f.u.: 8.14
Symmetry: Cmc2_1
Uncorrected formation energy in eV/f.u.: -8.06

---

# 4
Compound: TaRu
Source: Alexandria
Functional: PBE
Structure: relaxed

Geometry as POSCAR:
```
TaRu
1.0
4.057 0.000 0.000
2.029 3.513 0.000
2.029 1.171 3.313
Ru Ta
1 1
Direct
0.000 0.000 0.000
0.750 0.750 0.750
```

Summary:
ΔH_f (0 K) in eV/atom: 1.18
Density of states at the Fermi level in states/eV/f.u.: 4.24
Symmetry: F-43m

---

Here are the calculated size of the total moment numbers, same order: 0.0 6.8 0.0 0.0 (μB/f.u.).
Here are the calculated energy numbers, same order: -72.590 -26.134 -80.261 -18.774 (eV per cell).
Here are the calculated theoretical density numbers, same order: 7433 6106 5003 9918 (kg/m3).